# 1
# SrHg2Cl

A geometry-optimized SrHg2Cl structure (PBE, the Alexandria database).

```
SrHg2Cl
1.0
2.2294 1.2872 8.2870
-2.2294 1.2872 8.2870
0.0000 -2.5743 8.2870
Sr Hg Cl
1 2 1
Direct
0.0000 0.0000 0.0000
0.4855 0.4855 0.4855
0.7546 0.7546 0.7546
0.2814 0.2814 0.2814
```

**Formation energy (no corrections)**: -3.68 eV per formula unit
**Crystal system**: trigonal
**Energy above the lowest structure with this stoichiometry**: 14 meV/atom


# 2
# La2OsRh

A geometry-optimized La2OsRh structure (PBE, the Alexandria database).

```
La2OsRh
1.0
2.0491 1.1830 6.8656
-2.0491 1.1830 6.8656
0.0000 -2.3661 6.8656
La Os Rh
2 1 1
Direct
0.2487 0.2487 0.2487
0.7513 0.7513 0.7513
0.5000 0.5000 0.5000
0.0000 0.0000 0.0000
```

**Crystal system**: trigonal
**Energy above the lowest structure with this stoichiometry**: 274 meV/atom
**ΔH_f (0 K)**: 0.033 eV/atom


# 3
# Er2TcB10

A geometry-optimized Er2TcB10 structure (PBE, the Alexandria database).

```
Er2TcB10
1.0
5.7327 0.0000 0.0000
0.0000 11.3827 0.0000
0.0000 0.0000 4.1477
Er Tc B
4 2 20
Direct
0.2247 0.1319 0.0000
0.2753 0.6319 0.0000
0.7247 0.3681 0.0000
0.7753 0.8681 0.0000
0.0000 0.5000 0.5000
0.5000 0.0000 0.5000
0.0632 0.3067 0.5000
0.1198 0.9593 0.5000
0.1275 0.8025 0.5000
0.2280 0.3805 0.1996
0.2280 0.3805 0.8004
0.2720 0.8805 0.1996
0.2720 0.8805 0.8004
0.3725 0.3025 0.5000
0.3802 0.4593 0.5000
0.4368 0.8067 0.5000
0.5632 0.1933 0.5000
0.6198 0.5407 0.5000
0.6275 0.6975 0.5000
0.7280 0.1195 0.1996
0.7280 0.1195 0.8004
0.7720 0.6195 0.1996
0.7720 0.6195 0.8004
0.8725 0.1975 0.5000
0.8802 0.0407 0.5000
0.9368 0.6933 0.5000
```

**Crystal system**: orthorhombic
**ΔH_f (0 K)**: -0.386 eV/atom


# 4
# Tl7Os

A geometry-optimized Tl7Os structure (PBE, the Alexandria database).

```
Tl7Os
1.0
0.0000 4.7591 4.7591
4.7591 0.0000 4.7591
4.7591 4.7591 0.0000
Tl Os
7 1
Direct
0.0000 0.0000 0.0000
0.0000 0.0000 0.5000
0.0000 0.5000 0.0000
0.0000 0.5000 0.5000
0.5000 0.0000 0.0000
0.5000 0.0000 0.5000
0.5000 0.5000 0.0000
0.5000 0.5000 0.5000
```

**Crystal system**: cubic
**ΔH_f (0 K)**: 0.586 eV/atom


# 5
# MgBe2Te

A geometry-optimized MgBe2Te structure (PBE, the Alexandria database).

```
MgBe2Te
1.0
3.3881 0.0000 0.0000
0.0000 3.3881 0.0000
0.0000 0.0000 6.1202
Mg Be Te
1 2 1
Direct
0.0000 0.0000 0.0000
0.0000 0.0000 0.5804
0.5000 0.5000 0.7600
0.5000 0.5000 0.3674
```

**Formation energy (no corrections)**: 1.76 eV per formula unit
**Crystal system**: tetragonal
**Energy above the lowest structure with this stoichiometry**: 252 meV/atom


# 6
# BeCr2MoRu

A geometry-optimized BeCr2MoRu structure (PBE, the Alexandria database).

```
BeCr2MoRu
1.0
3.9941 0.0000 0.0000
0.0000 3.9941 0.0000
0.0000 0.0000 4.0154
Be Cr Mo Ru
1 2 1 1
Direct
0.0000 0.0000 0.0000
0.0000 0.5000 0.0000
0.5000 0.0000 0.0000
0.5000 0.5000 0.5000
0.0000 0.0000 0.5000
```

**Crystal system**: tetragonal
**ΔH_f (0 K)**: 0.638 eV/atom


# 7
# TaCo4Cl

A geometry-optimized TaCo4Cl structure (PBE, the Alexandria database).

```
TaCo4Cl
1.0
0.0000 3.3958 3.3958
3.3958 0.0000 3.3958
3.3958 3.3958 0.0000
Ta Co Cl
1 4 1
Direct
0.0000 0.0000 0.0000
0.1223 0.6259 0.6259
0.6259 0.1223 0.6259
0.6259 0.6259 0.1223
0.6259 0.6259 0.6259
0.2500 0.2500 0.2500
```

**Formation energy (no corrections)**: 2.61 eV per formula unit
**Crystal system**: cubic


# 8
# KYC

A geometry-optimized KYC structure (PBE, the Alexandria database).

```
KYC
1.0
7.1387 -2.8402 0.0000
7.1387 2.8402 0.0000
-0.0063 0.0000 4.3067
K Y C
2 2 2
Direct
0.0000 0.0000 0.0000
0.5020 0.5020 0.4994
0.2420 0.2420 0.9980
0.7463 0.7463 0.4981
0.5523 0.7902 0.9979
0.7902 0.5523 0.9979
```

**Crystal system**: monoclinic
**Energy above the lowest structure with this stoichiometry**: 271 meV/atom
**ΔH_f (0 K)**: 0.205 eV/atom


# 9
# KAs2RhO6

A geometry-optimized KAs2RhO6 structure (PBE, the Alexandria database).

```
KAs2RhO6
1.0
2.6375 1.5228 6.4992
-2.6375 1.5228 6.4992
0.0000 -3.0455 6.4992
K As Rh O
1 2 1 6
Direct
0.0000 0.0000 0.0000
0.2545 0.2545 0.2545
0.7455 0.7455 0.7455
0.5000 0.5000 0.5000
0.1121 0.7357 0.4761
0.2643 0.5239 0.8879
0.4761 0.1121 0.7357
0.5239 0.8879 0.2643
0.7357 0.4761 0.1121
0.8879 0.2643 0.5239
```

**Formation energy (no corrections)**: -10.02 eV per formula unit
**Crystal system**: trigonal


# 10
# BaUZnAs3

A geometry-optimized BaUZnAs3 structure (PBE, the Alexandria database).

```
BaUZnAs3
1.0
8.8033 0.0000 0.0000
0.0000 4.2136 0.0000
-2.6774 0.0000 9.0859
Ba U Zn As
2 2 2 6
Direct
0.2025 0.2500 0.2432
0.7975 0.7500 0.7568
0.3208 0.7500 0.8442
0.6792 0.2500 0.1558
0.0875 0.2500 0.5968
0.9125 0.7500 0.4032
0.1145 0.2500 0.8676
0.2211 0.7500 0.5324
0.4628 0.7500 0.1531
0.5372 0.2500 0.8469
0.7789 0.2500 0.4676
0.8855 0.7500 0.1324
```

**Crystal system**: monoclinic
**ΔH_f (0 K)**: -0.710 eV/atom


# 11
# BiSeBr3

A geometry-optimized BiSeBr3 structure (PBE, the Alexandria database).

```
BiSeBr3
1.0
5.7467 0.0000 0.0000
0.0000 5.7467 0.0000
0.0000 0.0000 5.7467
Bi Se Br
1 1 3
Direct
0.0000 0.0000 0.0000
0.5000 0.5000 0.5000
0.0000 0.0000 0.5000
0.0000 0.5000 0.0000
0.5000 0.0000 0.0000
```

**Formation energy (no corrections)**: 0.07 eV per formula unit
**Crystal system**: cubic
**Energy above the lowest structure with this stoichiometry**: 0 meV/atom


# 12
# CsHfFeCu2

A geometry-optimized CsHfFeCu2 structure (PBE, the Alexandria database).

```
CsHfFeCu2
1.0
4.9304 0.0000 0.0000
0.0000 4.9304 0.0000
0.0000 0.0000 4.6913
Cs Hf Fe Cu
1 1 1 2
Direct
0.0000 0.0000 0.0000
0.5000 0.5000 0.5000
0.0000 0.0000 0.5000
0.0000 0.5000 0.0000
0.5000 0.0000 0.0000
```

**Crystal system**: tetragonal
**ΔH_f (0 K)**: 2.326 eV/atom


# 13
# NaIrPb

A geometry-optimized NaIrPb structure (PBE, the Alexandria database).

```
NaIrPb
1.0
0.0000 3.2323 3.2323
3.2323 0.0000 3.2323
3.2323 3.2323 0.0000
Na Ir Pb
1 1 1
Direct
0.0000 0.0000 0.0000
0.2500 0.2500 0.2500
0.7500 0.7500 0.7500
```

**Crystal system**: cubic
**ΔH_f (0 K)**: 0.879 eV/atom


# 14
# Sm2Pa2Te2S5

A geometry-optimized Sm2Pa2Te2S5 structure (PBE, the Alexandria database).

```
Sm2Pa2Te2S5
1.0
-2.6177 2.6177 12.8220
2.6177 -2.6177 12.8220
2.6177 2.6177 -12.8220
Sm Pa Te S
2 2 2 5
Direct
0.1615 0.1615 0.0000
0.8385 0.8385 0.0000
0.3987 0.3987 0.0000
0.6013 0.6013 0.0000
0.2824 0.2824 0.0000
0.7176 0.7176 0.0000
0.1121 0.6121 0.5000
0.3879 0.8879 0.5000
0.5000 0.5000 0.0000
0.6121 0.1121 0.5000
0.8879 0.3879 0.5000
```

**Formation energy (no corrections)**: -16.33 eV per formula unit
**Crystal system**: tetragonal


# 15
# PrY3Tl3

A geometry-optimized PrY3Tl3 structure (PBE, the Alexandria database).

```
PrY3Tl3
1.0
9.4427 0.0000 0.0000
0.0000 9.4427 0.0000
0.0000 0.0000 9.4427
Pr Y Tl
4 12 12
Direct
0.0710 0.4290 0.5710
0.4290 0.5710 0.0710
0.5710 0.0710 0.4290
0.9290 0.9290 0.9290
0.0793 0.5793 0.9207
0.1788 0.1788 0.1788
0.1803 0.8197 0.3197
0.3197 0.1803 0.8197
0.3212 0.8212 0.6788
0.4207 0.4207 0.4207
0.5793 0.9207 0.0793
0.6788 0.3212 0.8212
0.6803 0.6803 0.6803
0.8197 0.3197 0.1803
0.8212 0.6788 0.3212
0.9207 0.0793 0.5793
0.0001 0.2576 0.8846
0.9999 0.7576 0.6154
0.1154 0.5001 0.2424
0.2424 0.1154 0.5001
0.2576 0.8846 0.0001
0.3846 0.4999 0.7424
0.5001 0.2424 0.1154
0.4999 0.7424 0.3846
0.6154 0.9999 0.7576
0.7424 0.3846 0.4999
0.7576 0.6154 0.9999
0.8846 0.0001 0.2576
```

**Crystal system**: cubic
**Energy above the lowest structure with this stoichiometry**: 0 meV/atom
**ΔH_f (0 K)**: -0.289 eV/atom


# 16
# TlNi2Ir

A geometry-optimized TlNi2Ir structure (PBE, the Alexandria database).

```
TlNi2Ir
1.0
0.0000 3.0727 3.0727
3.0727 0.0000 3.0727
3.0727 3.0727 0.0000
Tl Ni Ir
1 2 1
Direct
0.0000 0.0000 0.0000
0.2500 0.2500 0.2500
0.7500 0.7500 0.7500
0.5000 0.5000 0.5000
```

**Crystal system**: cubic
**Energy above the lowest structure with this stoichiometry**: 60 meV/atom
**ΔH_f (0 K)**: 0.354 eV/atom


# 17
# BaCa2W

A geometry-optimized BaCa2W structure (PBE, the Alexandria database).

```
BaCa2W
1.0
5.4243 -1.6613 0.0000
5.4243 1.6613 0.0000
-0.8817 0.0000 7.2681
Ba Ca W
1 2 1
Direct
0.0000 0.0000 0.0000
0.2262 0.2262 0.6523
0.4633 0.4633 0.4236
0.7256 0.7256 0.2775
```

**Crystal system**: monoclinic
**Energy above the lowest structure with this stoichiometry**: 149 meV/atom
**ΔH_f (0 K)**: 1.001 eV/atom


# 18
# K3AgOs2O8

A geometry-optimized K3AgOs2O8 structure (PBE, the Alexandria database).

```
K3AgOs2O8
1.0
6.0810 0.0000 0.0000
-3.0405 5.2663 0.0000
0.0000 0.0000 7.8876
K Ag Os O
3 1 2 8
Direct
0.0000 0.0000 0.0000
0.3333 0.6667 0.6483
0.6667 0.3333 0.3517
0.0000 0.0000 0.5000
0.3333 0.6667 0.2029
0.6667 0.3333 0.7971
0.1747 0.3495 0.2975
0.1747 0.8253 0.2975
0.3333 0.6667 0.9767
0.3495 0.1747 0.7025
0.6505 0.8253 0.2975
0.6667 0.3333 0.0233
0.8253 0.1747 0.7025
0.8253 0.6505 0.7025
```

**Formation energy (no corrections)**: -15.65 eV per formula unit
**Crystal system**: trigonal


# 19
# Ir2RuW

A geometry-optimized Ir2RuW structure (PBE, the Alexandria database).

```
Ir2RuW
1.0
2.7345 -3.8959 0.0000
2.7345 3.8959 0.0000
0.0000 0.0000 2.7611
Ir Ru W
2 1 1
Direct
0.0000 0.5000 0.0000
0.5000 0.0000 0.0000
0.0000 0.0000 0.5000
0.5000 0.5000 0.5000
```

**Crystal system**: orthorhombic
**Energy above the lowest structure with this stoichiometry**: 103 meV/atom
**ΔH_f (0 K)**: -0.163 eV/atom


# 20
# LaDy5Sc

A geometry-optimized LaDy5Sc structure (PBE, the Alexandria database).

```
LaDy5Sc
1.0
6.1027 0.0000 0.0000
-1.0320 6.0302 0.0000
-1.0151 -1.2163 5.9225
La Dy Sc
1 5 1
Direct
0.0000 0.0000 0.0000
0.1413 0.5629 0.2859
0.2896 0.1387 0.5699
0.4274 0.7095 0.8588
0.7113 0.8482 0.4237
0.8499 0.4227 0.7101
0.5695 0.2830 0.1426
```

**Crystal system**: triclinic
**ΔH_f (0 K)**: 0.039 eV/atom